## CuB2Br8 (PBE)

Data for crystalline CuB2Br8 at its relaxed geometry.

abc: 11.580 10.273 6.478
angles: 90.00 93.53 90.00
Space group C2/m (No. 12)
Unique sites:
1 Cu 0.000 0.000 0.000 [2 per cell]
2 B 0.219 0.000 0.323 [4 per cell]
3 Br 0.119 0.156 0.197 [8 per cell]
4 Br 0.126 0.500 0.783 [4 per cell]
5 Br 0.218 0.000 0.628 [4 per cell]

Output
Energy relative to the elements, uncorrected: -9.2 kcal/mol of atoms

***

## In2OsSe (PBE)

Data for crystalline In2OsSe at its relaxed geometry.

abc: 3.683 3.833 6.159
angles: 90.00 90.00 90.00
Space group Pmm2 (No. 25)
Unique sites:
1 In 0.000 0.000 0.000 [1 per cell]
2 In 0.500 0.500 0.343 [1 per cell]
3 Os 0.000 0.000 0.435 [1 per cell]
4 Se 0.500 0.500 0.821 [1 per cell]

Output
Energy relative to the elements, uncorrected: 11.5 kcal/mol of atoms

***

## SmTcN2 (PBE)

Data for crystalline SmTcN2 at its relaxed geometry.

abc: 5.717 3.395 6.025
angles: 90.00 93.27 90.00
Space group P2/m (No. 10)
Unique sites:
1 Sm 0.000 0.000 0.000 [1 per cell]
2 Sm 0.000 0.500 0.500 [1 per cell]
3 Tc 0.408 0.000 0.701 [2 per cell]
4 N 0.260 0.000 0.370 [2 per cell]
5 N 0.273 0.500 0.826 [2 per cell]

Output
Energy relative to the elements, uncorrected: -11.1 kcal/mol of atoms
ΔE to the lowest computed polymorph: 1.11 eV/f.u.

***

## BaSrGe4 (PBE)

Data for crystalline BaSrGe4 at its relaxed geometry.

abc: 4.223 8.283 9.532
angles: 90.00 90.00 90.00
Space group Immm (No. 71)
Unique sites:
1 Ba 0.000 0.000 0.000 [2 per cell]
2 Sr 0.000 0.000 0.500 [2 per cell]
3 Ge 0.000 0.337 0.237 [8 per cell]

Output
Energy of formation from the pure elements: -460 meV per atom
ΔE to the lowest computed polymorph: 0.00 eV/f.u.

***

## Tb5YTm2 (PBE)

Data for crystalline Tb5YTm2 at its relaxed geometry.

abc: 6.610 8.811 9.375
angles: 90.25 96.25 108.90
Space group P-1 (No. 2)
Unique sites:
1 Tb 0.063 0.274 0.380 [2 per cell]
2 Tb 0.221 0.024 0.111 [2 per cell]
3 Tb 0.261 0.985 0.448 [2 per cell]
4 Tb 0.267 0.738 0.907 [2 per cell]
5 Tb 0.376 0.195 0.765 [2 per cell]
6 Y 0.051 0.634 0.254 [2 per cell]
7 Tm 0.294 0.409 0.082 [2 per cell]
8 Tm 0.392 0.623 0.585 [2 per cell]

Output
Energy of formation from the pure elements: 148 meV per atom
ΔE to the lowest computed polymorph: 1.05 eV/f.u.

***

## CdAsCl2 (PBE)

Data for crystalline CdAsCl2 at its relaxed geometry.

abc: 3.713 6.378 9.151
angles: 90.00 90.00 90.00
Space group Cmm2 (No. 35)
Unique sites:
1 Cd 0.000 0.000 0.000 [2 per cell]
2 As 0.000 0.500 0.233 [2 per cell]
3 Cl 0.000 0.000 0.424 [2 per cell]
4 Cl 0.000 0.500 0.812 [2 per cell]

Output
Energy relative to the elements, uncorrected: -5.0 kcal/mol of atoms
ΔE to the lowest computed polymorph: 0.75 eV/f.u.